Computed, not measured: NaVF3 after structural relaxation at the PBE+U level of DFT.

```
5
Lattice="4.162 0.000 0.000 0.000 4.162 0.000 0.000 0.000 4.162" Properties=species:S:1:pos:R:3 pbc="T T T"
Na 2.081 2.081 2.081
V 0.000 0.000 0.000
F 0.000 2.081 0.000
F 0.000 0.000 2.081
F 2.081 0.000 0.000
```

Polymorph energy (0 for the lowest one)   0.46 eV/f.u.
Crystal system   cubic
Total magnetization   3.00 μB/cell